## Ti7InPb3 (PBE)

Data for Ti7InPb3 after structural relaxation.

It has space group Immm (No. 71), with a = 5.224 Å, b = 8.618 Å, c = 10.322 Å, α = 90.00°, β = 90.00° and γ = 90.00°. Symmetry generates all atoms from Ti at (0.000, 0.000, 0.000), Ti at (0.000, 0.181, 0.500), Ti at (0.000, 0.331, 0.246), In at (0.000, 0.500, 0.500), Pb at (0.000, 0.000, 0.267) and Pb at (0.000, 0.500, 0.000).

As for the density: 7.66 g/cm³. The crystal system is orthorhombic. For the volume, the calculation gives 21.13 A^3/atom. For the formation enthalpy at 0 K, the calculation gives 260 meV/atom.